1.
{
  "formula": "TlVC2",
  "functional": "PBE",
  "state": "optimized geometry",
  "space_group": "No. 225",
  "delta_e_f_ev_per_fu": 8.35,
  "lattice": [[0.000, 2.899, 2.899], [2.899, 0.000, 2.899], [2.899, 2.899, 0.000]],
  "species": ["Tl", "C", "C", "V"],
  "frac_coords": [[0.500, 0.500, 0.500], [0.250, 0.250, 0.250], [0.750, 0.750, 0.750], [0.000, 0.000, 0.000]]
}

***

2.
{
  "formula": "BeReCl3",
  "functional": "PBE",
  "state": "optimized geometry",
  "space_group": "No. 221",
  "e_form_raw_mev_per_atom": 529,
  "lattice": [[4.643, 0.000, 0.000], [0.000, 4.643, 0.000], [0.000, 0.000, 4.643]],
  "species": ["Re", "Be", "Cl", "Cl", "Cl"],
  "frac_coords": [[0.500, 0.500, 0.500], [0.000, 0.000, 0.000], [0.000, 0.500, 0.000], [0.000, 0.000, 0.500], [0.500, 0.000, 0.000]]
}

***

3.
{
  "formula": "TiFe2HOs",
  "functional": "PBE",
  "state": "optimized geometry",
  "space_group": "No. 123",
  "total_energy_ev_per_atom": -8.011,
  "lattice": [[3.673, 0.000, 0.000], [0.000, 3.673, 0.000], [0.000, 0.000, 3.917]],
  "species": ["H", "Os", "Fe", "Fe", "Ti"],
  "frac_coords": [[0.000, 0.000, 0.000], [0.500, 0.500, 0.500], [0.000, 0.500, 0.000], [0.500, 0.000, 0.000], [0.000, 0.000, 0.500]]
}

***

4.
{
  "formula": "Nd2ZrGa",
  "functional": "PBE",
  "state": "optimized geometry",
  "space_group": "No. 123",
  "delta_e_f_ev_per_fu": -0.61,
  "lattice": [[4.736, 0.000, 0.000], [0.000, 4.656, 0.000], [0.000, 0.000, 4.656]],
  "species": ["Nd", "Nd", "Ga", "Zr"],
  "frac_coords": [[0.000, 0.000, 0.500], [0.000, 0.500, 0.000], [0.500, 0.500, 0.500], [0.500, 0.000, 0.000]]
}

***

5.
{
  "formula": "Mg5InSn3",
  "functional": "PBE",
  "state": "optimized geometry",
  "space_group": "No. 63",
  "delta_e_f_ev_per_fu": -0.85,
  "lattice": [[-0.414, 4.849, 3.953], [-8.465, -2.168, 1.774], [6.596, -3.420, 4.885]],
  "species": ["Mg", "Mg", "Mg", "Mg", "Mg", "Mg", "Mg", "Mg", "Mg", "Mg", "In", "In", "Sn", "Sn", "Sn", "Sn", "Sn", "Sn"],
  "frac_coords": [[0.000, 0.667, 0.333], [0.500, 0.333, 0.667], [0.000, 0.333, 0.667], [0.500, 0.667, 0.333], [0.750, 0.695, 0.695], [0.750, 0.000, 0.305], [0.750, 0.305, 0.000], [0.250, 0.305, 0.305], [0.250, 0.000, 0.695], [0.250, 0.695, 0.000], [0.000, 0.000, 0.000], [0.500, 0.000, 0.000], [0.750, 0.367, 0.368], [0.750, 0.000, 0.632], [0.750, 0.632, 0.000], [0.250, 0.633, 0.632], [0.250, 0.000, 0.368], [0.250, 0.368, 0.000]]
}

***

6.
{
  "formula": "Y2PuTh3Se6",
  "functional": "PBE",
  "state": "optimized geometry",
  "space_group": "No. 12",
  "e_form_raw_mev_per_atom": -1615,
  "lattice": [[-3.957, -0.228, -0.980], [-0.586, -7.375, 4.083], [0.086, 6.726, 6.597]],
  "species": ["Y", "Y", "Pu", "Th", "Th", "Th", "Se", "Se", "Se", "Se", "Se", "Se"],
  "frac_coords": [[0.835, 0.668, 0.670], [0.165, 0.332, 0.330], [0.500, 0.000, 0.000], [0.500, 0.500, 0.000], [0.834, 0.164, 0.667], [0.166, 0.836, 0.333], [0.335, 0.907, 0.671], [0.671, 0.577, 0.341], [0.665, 0.093, 0.329], [0.003, 0.244, 0.006], [0.997, 0.756, 0.994], [0.329, 0.423, 0.659]]
}

***

7.
{
  "formula": "CoMo2Au",
  "functional": "PBE",
  "state": "optimized geometry",
  "space_group": "No. 47",
  "delta_e_f_ev_per_fu": 0.71,
  "lattice": [[-3.350, -1.124, -1.752], [1.420, -1.651, -1.657], [0.887, -5.784, 2.016]],
  "species": ["Au", "Co", "Mo", "Mo"],
  "frac_coords": [[0.500, 0.250, 0.250], [0.500, 0.750, 0.750], [0.000, 0.028, 0.971], [0.000, 0.472, 0.529]]
}

***

8.
{
  "formula": "ScInBr2",
  "functional": "PBE",
  "state": "optimized geometry",
  "space_group": "No. 99",
  "e_form_raw_mev_per_atom": -764,
  "lattice": [[3.537, 0.000, 0.000], [0.000, 3.537, 0.000], [0.000, 0.000, 8.402]],
  "species": ["Br", "Br", "In", "Sc"],
  "frac_coords": [[0.000, 0.000, 0.926], [0.500, 0.500, 0.301], [0.000, 0.000, 0.520], [0.500, 0.500, 0.754]]
}

***

9.
{
  "formula": "RbLi2Sb2Pb2",
  "functional": "PBE",
  "state": "optimized geometry",
  "space_group": "No. 166",
  "e_form_raw_mev_per_atom": -282,
  "lattice": [[-2.586, 3.744, -1.288], [-2.741, -0.230, -3.846], [-10.532, -2.651, 4.758]],
  "species": ["Rb", "Li", "Li", "Sb", "Sb", "Pb", "Pb"],
  "frac_coords": [[0.000, 0.000, 0.000], [0.580, 0.580, 0.261], [0.420, 0.420, 0.739], [0.746, 0.746, 0.763], [0.254, 0.254, 0.237], [0.131, 0.131, 0.607], [0.869, 0.869, 0.393]]
}

***

10.
{
  "formula": "CaTiZnCl2",
  "functional": "PBE",
  "state": "optimized geometry",
  "space_group": "No. 123",
  "e_form_raw_mev_per_atom": -634,
  "lattice": [[4.752, 0.000, 0.000], [0.000, 5.385, 0.000], [0.000, 0.000, 4.752]],
  "species": ["Zn", "Cl", "Cl", "Ca", "Ti"],
  "frac_coords": [[0.000, 0.500, 0.000], [0.000, 0.000, 0.500], [0.500, 0.000, 0.000], [0.500, 0.500, 0.500], [0.000, 0.000, 0.000]]
}

***

11.
{
  "formula": "CoIrBr3",
  "functional": "PBE",
  "state": "optimized geometry",
  "space_group": "No. 221",
  "e_form_raw_mev_per_atom": 823,
  "lattice": [[5.077, 0.000, 0.000], [0.000, 5.077, 0.000], [0.000, 0.000, 5.077]],
  "species": ["Co", "Ir", "Br", "Br", "Br"],
  "frac_coords": [[0.500, 0.500, 0.500], [0.000, 0.000, 0.000], [0.000, 0.500, 0.000], [0.000, 0.000, 0.500], [0.500, 0.000, 0.000]]
}

***

12.
{
  "formula": "KH2N",
  "functional": "PBE",
  "state": "optimized geometry",
  "space_group": "No. 141",
  "total_energy_ev_per_atom": -3.895,
  "lattice": [[4.428, 0.000, 0.000], [0.000, 4.428, 0.000], [2.214, 2.214, 3.549]],
  "species": ["H", "H", "H", "H", "K", "K", "N", "N"],
  "frac_coords": [[0.375, 0.125, 0.250], [0.375, 0.625, 0.250], [0.375, 0.625, 0.750], [0.875, 0.625, 0.750], [0.000, 0.000, 0.000], [0.750, 0.250, 0.500], [0.500, 0.500, 0.000], [0.250, 0.750, 0.500]]
}

***

D(E_F) / states/eV/cell: 3.8 0.6 5.0 4.2 10.0 11.2 3.3 2.6 3.3 4.4 9.8 0.0
Density / g/cm3: 9.52 5.00 11.03 7.27 4.57 8.71 12.40 5.05 5.63 3.06 6.23 2.63